No. 1
CdIr2Os: relaxed, PBE.

- crystal system = orthorhombic
- ΔH_f (0 K) (kcal/mol of atoms) = 7.64

abc: 4.877 4.877 2.775
angles: 90.00 90.00 109.77
Atoms (fractional coordinates):
Cd 0.000 0.000 0.000
Ir 0.000 0.500 0.500
Ir 0.500 0.000 0.500
Os 0.500 0.500 0.000

***

No. 2
Ho3Te2C: relaxed, PBE.

- calculated total energy (eV/atom) = -5.834
- crystal system = orthorhombic

abc: 7.471 7.471 7.471
angles: 150.21 134.32 55.50
Atoms (fractional coordinates):
Ho 0.000 0.000 0.000
Ho 0.380 0.380 0.000
Ho 0.620 0.620 0.000
Te 0.180 0.680 0.500
Te 0.820 0.320 0.500
C 0.500 0.000 0.500

***

No. 3
CsRbHCl2: relaxed, PBE.

- calculated total energy (eV/atom) = -2.882
- crystal system = orthorhombic

abc: 4.135 4.208 8.291
angles: 90.00 90.00 90.00
Atoms (fractional coordinates):
Cs 0.000 0.000 0.000
Rb 0.000 0.000 0.512
H 0.500 0.000 0.266
Cl 0.500 0.500 0.265
Cl 0.500 0.500 0.745

***

For the records above, the corresponding calculated volume values read 15.5; 24.6; 28.9 Å³/atom.